The following is a GGA-PBE calculation of an optimized crystal structure of TbTl2AgBr6, from the Alexandria database.

a = 7.6673 Å, b = 8.0991 Å, c = 10.8555 Å
α = 90.00°, β = 89.28°, γ = 90.00°
Last column: nearest neighbours and their distance in Å.
Fractional coordinates of all 20 atoms:
Tl: 0.5265 0.5792 0.7534  7 Br 3.36-3.74
Ag: 0.0000 0.5000 0.5000  6 Br 2.83-2.98
Br: 0.7994 0.8089 0.5482  1 Tb 2.82, 1 Ag 2.98
Tb: 0.5000 0.0000 0.5000  6 Br 2.82-2.83
Br: 0.3986 0.9789 0.7508  1 Tb 2.83, 1 Ag 2.83
Br: 0.1878 0.2072 0.0486  1 Tb 2.83, 1 Ag 2.97
Tl: 0.4735 0.4208 0.2466  7 Br 3.36-3.74
Tl: 0.0265 0.9208 0.2534  7 Br 3.36-3.74
Tb: 0.0000 0.5000 0.0000  6 Br 2.82-2.83
Br: 0.7006 0.3089 0.9518  1 Tb 2.82, 1 Ag 2.98
Br: 0.8122 0.7928 0.9514  1 Tb 2.83, 1 Ag 2.97
Ag: 0.5000 0.0000 0.0000  6 Br 2.83-2.98
Br: 0.8986 0.5211 0.2508  1 Tb 2.83, 1 Ag 2.83
Br: 0.6878 0.2928 0.5486  1 Tb 2.83, 1 Ag 2.97
Br: 0.2994 0.6911 0.0482  1 Tb 2.82, 1 Ag 2.98
Tl: 0.9735 0.0792 0.7466  7 Br 3.36-3.74
Br: 0.2006 0.1911 0.4518  1 Tb 2.82, 1 Ag 2.98
Br: 0.1014 0.4789 0.7492  1 Tb 2.83, 1 Ag 2.83
Br: 0.3122 0.7072 0.4514  1 Tb 2.83, 1 Ag 2.97
Br: 0.6014 0.0211 0.2492  1 Tb 2.83, 1 Ag 2.83

Calculated values
**Formation energy without anion corrections**: -1.16 eV/atom
**VASP energy**: -67.8 eV/cell